(1)
DFT (GGA-PBE) results for crystalline Mg2Ga6Hg at its relaxed geometry.

The value obtained for the uncorrected energy is -21.96 eV per cell. The value obtained for the density of states at the Fermi level is 2.88 states/eV per cell. For the formation energy, the calculation gives -35 meV per atom.

a = 7.8053 Å, b = 7.8053 Å, c = 3.8023 Å
α = 103.01°, β = 103.01°, γ = 54.77°
With the nearest neighbours (Å) after each atom.
Element x y z (fractional)
Mg (0.1274, 0.1274, 0.1219)  10 Ga 2.83-3.10
Mg (0.8726, 0.8726, 0.8781)  10 Ga 2.83-3.10
Ga (0.1308, 0.4970, 0.3123)  4 Ga 2.63-2.75, 1 Mg 2.83
Ga (0.1933, 0.8067, 0.5000)  3 Ga 2.65-2.78, 4 Mg 2.90-2.92, 2 Hg 2.91
Ga (0.4970, 0.1308, 0.3123)  4 Ga 2.63-2.75, 1 Mg 2.83
Ga (0.5030, 0.8692, 0.6877)  4 Ga 2.63-2.75, 1 Mg 2.83
Ga (0.8067, 0.1933, 0.5000)  3 Ga 2.65-2.78, 4 Mg 2.90-2.92, 2 Hg 2.91
Ga (0.8692, 0.5030, 0.6877)  4 Ga 2.63-2.75, 1 Mg 2.83
Hg (0.5000, 0.5000, 0.0000)  4 Ga 2.91


(2)
DFT (GGA-PBE) results for crystalline MgGa2Hg2 at its relaxed geometry.

The calculation puts the offset from the most stable computed form at 0.063 eV/atom. The value obtained for the uncorrected energy is -16.22 eV per cell. The value obtained for the density of states at the Fermi level is 4.56 states/eV per cell. For the formation energy, the calculation gives 28 meV per atom.

a = 7.3809 Å, b = 7.3809 Å, c = 4.1269 Å
α = 90.00°, β = 90.00°, γ = 90.00°
With the nearest neighbours (Å) after each atom.
Element x y z (fractional)
Mg (0.0000, 0.0000, 0.0000)  4 Ga 2.91
Mg (0.5000, 0.5000, 0.0000)  4 Ga 2.91
Ga (0.1271, 0.3729, 0.0000)  1 Ga 2.65, 2 Hg 2.88, 2 Mg 2.91
Ga (0.3729, 0.8729, 0.0000)  1 Ga 2.65, 2 Hg 2.88, 2 Mg 2.91
Ga (0.6271, 0.1271, 0.0000)  1 Ga 2.65, 2 Hg 2.88, 2 Mg 2.91
Ga (0.8729, 0.6271, 0.0000)  1 Ga 2.65, 2 Hg 2.88, 2 Mg 2.91
Hg (0.1808, 0.6808, 0.5000)  6 Ga 2.88-3.10
Hg (0.3192, 0.1808, 0.5000)  6 Ga 2.88-3.10
Hg (0.6808, 0.8192, 0.5000)  6 Ga 2.88-3.10
Hg (0.8192, 0.3192, 0.5000)  6 Ga 2.88-3.10


(3)
DFT (GGA-PBE) results for crystalline Mg3GaHg3 at its relaxed geometry.

The calculation puts the offset from the most stable computed form at 0.427 eV/atom. The value obtained for the uncorrected energy is -13.34 eV per cell. The value obtained for the density of states at the Fermi level is 5.34 states/eV per cell. For the formation energy, the calculation gives 292 meV per atom.

a = 7.7274 Å, b = 7.7274 Å, c = 7.7274 Å
α = 90.00°, β = 90.00°, γ = 90.00°
With the nearest neighbours (Å) after each atom.
Element x y z (fractional)
Mg (0.0000, 0.2500, 0.5000)  4 Hg 2.73
Mg (0.0000, 0.7500, 0.5000)  4 Hg 2.73
Mg (0.2500, 0.5000, 0.0000)  4 Hg 2.73
Mg (0.5000, 0.0000, 0.2500)  4 Hg 2.73
Mg (0.5000, 0.0000, 0.7500)  4 Hg 2.73
Mg (0.7500, 0.5000, 0.0000)  4 Hg 2.73
Ga (0.0000, 0.0000, 0.0000)  12 Hg 4.32, 12 Mg 4.32
Ga (0.5000, 0.5000, 0.5000)  12 Hg 4.32, 12 Mg 4.32
Hg (0.0000, 0.5000, 0.2500)  4 Mg 2.73
Hg (0.0000, 0.5000, 0.7500)  4 Mg 2.73
Hg (0.2500, 0.0000, 0.5000)  4 Mg 2.73
Hg (0.5000, 0.2500, 0.0000)  4 Mg 2.73
Hg (0.5000, 0.7500, 0.0000)  4 Mg 2.73
Hg (0.7500, 0.0000, 0.5000)  4 Mg 2.73


(4)
DFT (GGA-PBE) results for crystalline Mg2GaHg at its relaxed geometry.

The value obtained for the uncorrected energy is -12.81 eV per cell. The value obtained for the density of states at the Fermi level is 4.30 states/eV per cell. For the formation energy, the calculation gives 29 meV per atom.

a = 6.2907 Å, b = 6.2907 Å, c = 6.2907 Å
α = 103.76°, β = 103.76°, γ = 121.63°
With the nearest neighbours (Å) after each atom.
Element x y z (fractional)
Mg (0.1198, 0.6250, 0.9948)  2 Ga 2.82, 2 Hg 2.88, 2 Mg 3.07
Mg (0.3750, 0.3698, 0.4948)  2 Ga 2.82, 2 Hg 2.88, 2 Mg 3.07
Mg (0.6302, 0.1250, 0.0052)  2 Ga 2.82, 2 Hg 2.88, 2 Mg 3.07
Mg (0.8750, 0.8802, 0.5052)  2 Ga 2.82, 2 Hg 2.88, 2 Mg 3.07
Ga (0.0000, 0.0000, 0.0000)  4 Mg 2.82, 2 Hg 3.07
Ga (0.7500, 0.2500, 0.5000)  4 Mg 2.82, 2 Hg 3.07
Hg (0.2500, 0.7500, 0.5000)  4 Mg 2.88, 2 Ga 3.07
Hg (0.5000, 0.5000, 0.0000)  4 Mg 2.88, 2 Ga 3.07


(5)
DFT (GGA-PBE) results for crystalline Mg2GaHg6 at its relaxed geometry.

The value obtained for the uncorrected energy is -17.04 eV per cell. The value obtained for the density of states at the Fermi level is 4.87 states/eV per cell. For the formation energy, the calculation gives -55 meV per atom.

a = 7.6158 Å, b = 7.6158 Å, c = 7.8770 Å
α = 97.01°, β = 97.01°, γ = 78.94°
With the nearest neighbours (Å) after each atom.
Element x y z (fractional)
Mg (0.0223, 0.2935, 0.4040)  8 Hg 2.93-3.05, 1 Ga 3.08
Mg (0.2935, 0.0223, 0.9040)  8 Hg 2.93-3.05, 1 Ga 3.08
Mg (0.7065, 0.9777, 0.0960)  8 Hg 2.93-3.05, 1 Ga 3.08
Mg (0.9777, 0.7065, 0.5960)  8 Hg 2.93-3.05, 1 Ga 3.08
Ga (0.3730, 0.6270, 0.7500)  8 Hg 2.94-3.18, 2 Mg 3.08
Ga (0.6270, 0.3730, 0.2500)  8 Hg 2.94-3.18, 2 Mg 3.08
Hg (0.0442, 0.7843, 0.9694)  3 Mg 2.93-2.99, 4 Hg 2.97-3.25, 1 Ga 3.18
Hg (0.1271, 0.3766, 0.7827)  1 Ga 2.97, 3 Mg 2.97-3.03, 4 Hg 2.97-3.25
Hg (0.2157, 0.9558, 0.5306)  3 Mg 2.93-2.99, 4 Hg 2.97-3.25, 1 Ga 3.18
Hg (0.2784, 0.5464, 0.3708)  2 Ga 2.94-3.00, 4 Hg 3.02-3.19, 2 Mg 3.04-3.05
Hg (0.3766, 0.1271, 0.2827)  1 Ga 2.97, 3 Mg 2.97-3.03, 4 Hg 2.97-3.25
Hg (0.4536, 0.7216, 0.1292)  2 Ga 2.94-3.00, 4 Hg 3.02-3.19, 2 Mg 3.04-3.05
Hg (0.5464, 0.2784, 0.8708)  2 Ga 2.94-3.00, 4 Hg 3.02-3.19, 2 Mg 3.04-3.05
Hg (0.6234, 0.8729, 0.7173)  1 Ga 2.97, 3 Mg 2.97-3.03, 4 Hg 2.97-3.25
Hg (0.7216, 0.4536, 0.6292)  2 Ga 2.94-3.00, 4 Hg 3.02-3.19, 2 Mg 3.04-3.05
Hg (0.7843, 0.0442, 0.4694)  3 Mg 2.93-2.99, 4 Hg 2.97-3.25, 1 Ga 3.18
Hg (0.8729, 0.6234, 0.2173)  1 Ga 2.97, 3 Mg 2.97-3.03, 4 Hg 2.97-3.25
Hg (0.9558, 0.2157, 0.0306)  3 Mg 2.93-2.99, 4 Hg 2.97-3.25, 1 Ga 3.18


(6)
DFT (GGA-PBE) results for crystalline Mg2Ga9Hg3 at its relaxed geometry.

The value obtained for the uncorrected energy is -30.08 eV per cell. The value obtained for the density of states at the Fermi level is 5.82 states/eV per cell. For the formation energy, the calculation gives 90 meV per atom.

a = 9.1222 Å, b = 9.1222 Å, c = 9.1222 Å
α = 151.33°, β = 105.13°, γ = 82.04°
With the nearest neighbours (Å) after each atom.
Element x y z (fractional)
Mg (0.1490, 0.0000, 0.1490)  8 Ga 2.80-3.06
Mg (0.8510, 0.0000, 0.8510)  8 Ga 2.80-3.06
Ga (0.0000, 0.5000, 0.5000)  4 Mg 2.80
Ga (0.0526, 0.8063, 0.2463)  5 Ga 2.63-2.84, 1 Hg 2.74, 1 Mg 2.88
Ga (0.1840, 0.3985, 0.7854)  4 Ga 2.63-2.84, 1 Hg 2.76
Ga (0.3869, 0.6015, 0.7854)  4 Ga 2.63-2.84, 1 Hg 2.76
Ga (0.4400, 0.1937, 0.2463)  5 Ga 2.63-2.84, 1 Hg 2.74, 1 Mg 2.88
Ga (0.5600, 0.8063, 0.7537)  5 Ga 2.63-2.84, 1 Hg 2.74, 1 Mg 2.88
Ga (0.6131, 0.3985, 0.2146)  4 Ga 2.63-2.84, 1 Hg 2.76
Ga (0.8160, 0.6015, 0.2146)  4 Ga 2.63-2.84, 1 Hg 2.76
Ga (0.9474, 0.1937, 0.7537)  5 Ga 2.63-2.84, 1 Hg 2.74, 1 Mg 2.88
Hg (0.2044, 0.2044, 0.0000)  2 Ga 2.74
Hg (0.5000, 0.5000, 0.0000)  4 Ga 2.76
Hg (0.7956, 0.7956, 0.0000)  2 Ga 2.74


(7)
DFT (GGA-PBE) results for crystalline Mg12Ga5Hg2 at its relaxed geometry.

The value obtained for the uncorrected energy is -35.31 eV per cell. The value obtained for the density of states at the Fermi level is 8.21 states/eV per cell. For the formation energy, the calculation gives -23 meV per atom.

a = 8.4538 Å, b = 8.4538 Å, c = 9.2736 Å
α = 103.70°, β = 103.70°, γ = 43.17°
With the nearest neighbours (Å) after each atom.
Element x y z (fractional)
Mg (0.0161, 0.0161, 0.3190)  2 Ga 2.76-2.77
Mg (0.0530, 0.5618, 0.8889)  3 Ga 2.76-2.88, 1 Hg 2.94, 3 Mg 3.03-3.07
Mg (0.0991, 0.6025, 0.3971)  4 Ga 2.78-2.86, 1 Mg 3.09
Mg (0.3975, 0.9009, 0.6029)  4 Ga 2.78-2.86, 1 Mg 3.09
Mg (0.4106, 0.4106, 0.7115)  1 Ga 2.69
Mg (0.4382, 0.9470, 0.1111)  3 Ga 2.76-2.88, 1 Hg 2.94, 3 Mg 3.03-3.07
Mg (0.5618, 0.0530, 0.8889)  3 Ga 2.76-2.88, 1 Hg 2.94, 3 Mg 3.03-3.07
Mg (0.5894, 0.5894, 0.2885)  1 Ga 2.69
Mg (0.6025, 0.0991, 0.3971)  4 Ga 2.78-2.86, 1 Mg 3.09
Mg (0.9009, 0.3975, 0.6029)  4 Ga 2.78-2.86, 1 Mg 3.09
Mg (0.9470, 0.4382, 0.1111)  3 Ga 2.76-2.88, 1 Hg 2.94, 3 Mg 3.03-3.07
Mg (0.9839, 0.9839, 0.6810)  2 Ga 2.76-2.77
Ga (0.1544, 0.1544, 0.8554)  7 Mg 2.76-2.83
Ga (0.1976, 0.1976, 0.3763)  7 Mg 2.77-2.88
Ga (0.5000, 0.5000, 0.5000)  6 Mg 2.69-2.78
Ga (0.8024, 0.8024, 0.6237)  7 Mg 2.77-2.88
Ga (0.8456, 0.8456, 0.1446)  7 Mg 2.76-2.83
Hg (0.2474, 0.7526, 0.0000)  6 Mg 2.94-3.29, 2 Hg 3.08-3.14
Hg (0.7526, 0.2474, 0.0000)  6 Mg 2.94-3.29, 2 Hg 3.08-3.14


(8)
DFT (GGA-PBE) results for crystalline MgGa2Hg at its relaxed geometry.

The calculation puts the offset from the most stable computed form at 0.166 eV/atom. The value obtained for the uncorrected energy is -7.56 eV per cell. The value obtained for the density of states at the Fermi level is 1.48 states/eV per cell. For the formation energy, the calculation gives 99 meV per atom.

a = 6.6992 Å, b = 6.6992 Å, c = 6.6992 Å
α = 41.07°, β = 41.07°, γ = 41.07°
With the nearest neighbours (Å) after each atom.
Element x y z (fractional)
Mg (0.0000, 0.0000, 0.0000)  6 Ga 2.74
Ga (0.3556, 0.3556, 0.3556)  1 Hg 2.65, 3 Mg 2.74, 3 Ga 2.83
Ga (0.6444, 0.6444, 0.6444)  1 Hg 2.65, 3 Mg 2.74, 3 Ga 2.83
Hg (0.5000, 0.5000, 0.5000)  2 Ga 2.65


(9)
DFT (GGA-PBE) results for crystalline Mg2Ga7Hg2 at its relaxed geometry.

The value obtained for the uncorrected energy is -25.09 eV per cell. The value obtained for the density of states at the Fermi level is 2.80 states/eV per cell. For the formation energy, the calculation gives -10 meV per atom.

a = 6.0913 Å, b = 6.0913 Å, c = 8.0773 Å
α = 94.05°, β = 94.05°, γ = 129.45°
With the nearest neighbours (Å) after each atom.
Element x y z (fractional)
Mg (0.0426, 0.0426, 0.1977)  6 Ga 2.87-3.08, 2 Hg 3.12, 1 Mg 3.15
Mg (0.9574, 0.9574, 0.8023)  6 Ga 2.87-3.08, 2 Hg 3.12, 1 Mg 3.15
Ga (0.1937, 0.6215, 0.1609)  6 Ga 2.72-2.94, 1 Hg 2.98
Ga (0.3785, 0.8063, 0.8391)  6 Ga 2.72-2.94, 1 Hg 2.98
Ga (0.4104, 0.4104, 0.6429)  4 Ga 2.63-2.91, 2 Mg 2.87-2.92, 2 Hg 2.94
Ga (0.5000, 0.5000, 0.0000)  6 Ga 2.77-2.84, 4 Mg 3.00-3.08
Ga (0.5896, 0.5896, 0.3571)  4 Ga 2.63-2.91, 2 Mg 2.87-2.92, 2 Hg 2.94
Ga (0.6215, 0.1937, 0.1609)  6 Ga 2.72-2.94, 1 Hg 2.98
Ga (0.8063, 0.3785, 0.8391)  6 Ga 2.72-2.94, 1 Hg 2.98
Hg (0.1712, 0.8288, 0.5000)  4 Ga 2.94-2.98, 2 Mg 3.12, 2 Hg 3.13
Hg (0.8288, 0.1712, 0.5000)  4 Ga 2.94-2.98, 2 Mg 3.12, 2 Hg 3.13


(10)
DFT (GGA-PBE) results for crystalline Mg12GaHg3 at its relaxed geometry.

The value obtained for the uncorrected energy is -25.07 eV per cell. The value obtained for the density of states at the Fermi level is 4.51 states/eV per cell. For the formation energy, the calculation gives -125 meV per atom.

a = 4.4691 Å, b = 4.4691 Å, c = 17.0079 Å
α = 90.00°, β = 90.00°, γ = 90.00°
With the nearest neighbours (Å) after each atom.
Element x y z (fractional)
Mg (0.0000, 0.0000, 0.0000)  8 Mg 3.05, 4 Ga 3.16
Mg (0.0000, 0.0000, 0.2491)  8 Mg 3.10-3.11, 4 Hg 3.16
Mg (0.0000, 0.0000, 0.5000)  8 Mg 3.08, 4 Hg 3.16
Mg (0.0000, 0.0000, 0.7509)  8 Mg 3.10-3.11, 4 Hg 3.16
Mg (0.0000, 0.5000, 0.1222)  8 Mg 3.05-3.16, 2 Ga 3.05, 2 Hg 3.10
Mg (0.0000, 0.5000, 0.3750)  4 Hg 3.08-3.10, 8 Mg 3.08-3.16
Mg (0.0000, 0.5000, 0.6250)  4 Hg 3.08-3.10, 8 Mg 3.08-3.16
Mg (0.0000, 0.5000, 0.8778)  8 Mg 3.05-3.16, 2 Ga 3.05, 2 Hg 3.10
Mg (0.5000, 0.0000, 0.1222)  8 Mg 3.05-3.16, 2 Ga 3.05, 2 Hg 3.10
Mg (0.5000, 0.0000, 0.3750)  4 Hg 3.08-3.10, 8 Mg 3.08-3.16
Mg (0.5000, 0.0000, 0.6250)  4 Hg 3.08-3.10, 8 Mg 3.08-3.16
Mg (0.5000, 0.0000, 0.8778)  8 Mg 3.05-3.16, 2 Ga 3.05, 2 Hg 3.10
Ga (0.5000, 0.5000, 0.0000)  12 Mg 3.05-3.16
Hg (0.5000, 0.5000, 0.2487)  12 Mg 3.10-3.16
Hg (0.5000, 0.5000, 0.5000)  12 Mg 3.08-3.16
Hg (0.5000, 0.5000, 0.7513)  12 Mg 3.10-3.16